Below is YHoBi2 after structural relaxation, with properties calculated at the PBE level.

Output
The formation energy comes out at -3.47 eV per formula unit. The calculation puts the energy above the most stable polymorph in this dataset at 0.00 eV/f.u. The calculation puts the calculated volume at 253 Å³/cell. As for the space group: Pmmn (59).

a = 4.472 Å, b = 6.321 Å, c = 8.943 Å
α = 90.00°, β = 90.00°, γ = 90.00°
Positions (direct):
Y1 0.000 0.500 0.875
Y2 0.500 0.000 0.125
Ho1 0.500 0.000 0.625
Ho2 0.000 0.500 0.375
Bi1 0.000 0.000 0.874
Bi2 0.000 0.000 0.376
Bi3 0.500 0.500 0.624
Bi4 0.500 0.500 0.126

=====

Below is Y3Ho5Bi2 after structural relaxation, with properties calculated at the PBE level.

Output
The formation energy comes out at -0.42 eV per formula unit. The calculation puts the calculated volume at 644 Å³/cell. As for the space group: Ibam (72).

a = 6.402 Å, b = 10.623 Å, c = 10.623 Å
α = 95.02°, β = 72.46°, γ = 72.46°
Positions (direct):
Y1 0.250 0.000 0.000
Y2 0.750 0.000 0.000
Y3 0.370 0.334 0.926
Y4 0.630 0.666 0.074
Y5 0.870 0.926 0.334
Y6 0.130 0.074 0.666
Ho1 0.250 0.500 0.500
Ho2 0.750 0.500 0.500
Ho3 0.508 0.742 0.742
Ho4 0.992 0.258 0.258
Ho5 0.492 0.258 0.258
Ho6 0.008 0.742 0.742
Ho7 0.085 0.580 0.249
Ho8 0.915 0.420 0.751
Ho9 0.585 0.249 0.580
Ho10 0.415 0.751 0.420
Bi1 0.146 0.705 0.002
Bi2 0.854 0.295 0.998
Bi3 0.646 0.002 0.705
Bi4 0.354 0.998 0.295

=====

Below is YHoBi2 after structural relaxation, with properties calculated at the PBE level.

Output
The formation energy comes out at -3.06 eV per formula unit. The calculation puts the energy above the most stable polymorph in this dataset at 0.42 eV/f.u. The calculation puts the calculated volume at 129 Å³/cell. As for the space group: R3m (160).

a = 4.438 Å, b = 4.438 Å, c = 8.009 Å
α = 73.91°, β = 73.91°, γ = 60.00°
Positions (direct):
Y1 0.669 0.669 0.994
Ho1 0.498 0.498 0.505
Bi1 0.082 0.082 0.753
Bi2 0.251 0.251 0.247

=====

Below is Y4HoBi5 after structural relaxation, with properties calculated at the PBE level.

Output
The formation energy comes out at -8.86 eV per formula unit. The calculation puts the calculated volume at 317 Å³/cell. As for the space group: Immm (71).

a = 4.478 Å, b = 6.330 Å, c = 11.848 Å
α = 105.49°, β = 100.89°, γ = 90.00°
Positions (direct):
Y1 0.400 0.400 0.800
Y2 0.800 0.800 0.601
Y3 0.200 0.200 0.399
Y4 0.600 0.600 0.200
Ho1 0.000 0.000 0.000
Bi1 0.599 0.099 0.199
Bi2 0.800 0.300 0.600
Bi3 0.200 0.700 0.400
Bi4 0.000 0.500 0.000
Bi5 0.401 0.901 0.801

=====

Below is Y2HoBi2 after structural relaxation, with properties calculated at the PBE level.

Output
The formation energy comes out at -3.03 eV per formula unit. The calculation puts the calculated volume at 325 Å³/cell. As for the space group: C2/m (12).

a = 4.365 Å, b = 9.102 Å, c = 8.706 Å
α = 103.83°, β = 90.00°, γ = 76.13°
Positions (direct):
Y1 0.500 0.500 0.251
Y2 0.819 0.861 0.840
Y3 0.181 0.139 0.160
Y4 0.500 0.500 0.749
Ho1 0.820 0.861 0.340
Ho2 0.180 0.139 0.660
Bi1 0.366 0.769 0.068
Bi2 0.635 0.229 0.433
Bi3 0.634 0.231 0.932
Bi4 0.365 0.771 0.567

=====

Below is YHoBi2 after structural relaxation, with properties calculated at the PBE level.

Output
The formation energy comes out at -3.47 eV per formula unit. The calculation puts the energy above the most stable polymorph in this dataset at 0.01 eV/f.u. The calculation puts the calculated volume at 127 Å³/cell. As for the space group: C2/m (12).

a = 4.472 Å, b = 4.472 Å, c = 7.748 Å
α = 73.17°, β = 73.17°, γ = 60.04°
Positions (direct):
Y1 0.500 0.500 0.500
Ho1 0.000 0.000 0.000
Bi1 0.749 0.749 0.752
Bi2 0.251 0.251 0.248

=====

Below is Y4HoBi after structural relaxation, with properties calculated at the PBE level.

Output
The formation energy comes out at 1.18 eV per formula unit. The calculation puts the calculated volume at 213 Å³/cell. As for the space group: P4/mmm (123).

a = 5.216 Å, b = 5.217 Å, c = 7.824 Å
α = 89.96°, β = 89.98°, γ = 90.00°
Positions (direct):
Y1 0.501 0.997 0.253
Y2 0.501 0.998 0.744
Y3 0.001 0.497 0.744
Y4 0.001 0.497 0.253
Ho1 0.001 0.997 0.498
Bi1 0.501 0.497 0.998

=====

Below is YHo3Bi3 after structural relaxation, with properties calculated at the PBE level.

Output
The formation energy comes out at -5.02 eV per formula unit. The calculation puts the energy above the most stable polymorph in this dataset at 0.00 eV/f.u. The calculation puts the calculated volume at 823 Å³/cell. As for the space group: P2_13 (198).

a = 9.371 Å, b = 9.371 Å, c = 9.371 Å
α = 90.00°, β = 90.00°, γ = 90.00°
Positions (direct):
Y1 0.073 0.573 0.927
Y2 0.927 0.073 0.573
Y3 0.427 0.427 0.427
Y4 0.573 0.927 0.073
Ho1 0.823 0.323 0.177
Ho2 0.926 0.926 0.926
Ho3 0.823 0.677 0.323
Ho4 0.177 0.823 0.323
Ho5 0.177 0.177 0.177
Ho6 0.323 0.823 0.677
Ho7 0.074 0.426 0.574
Ho8 0.323 0.177 0.823
Ho9 0.677 0.323 0.823
Ho10 0.677 0.677 0.677
Ho11 0.574 0.074 0.426
Ho12 0.426 0.574 0.074
Bi1 0.749 0.624 0.000
Bi2 0.876 0.000 0.249
Bi3 0.000 0.749 0.624
Bi4 0.124 0.500 0.251
Bi5 0.251 0.124 0.500
Bi6 0.249 0.876 0.000
Bi7 0.000 0.249 0.876
Bi8 0.376 0.500 0.751
Bi9 0.500 0.251 0.124
Bi10 0.624 0.000 0.749
Bi11 0.751 0.376 0.500
Bi12 0.500 0.751 0.376

=====

Below is Ho2ZnBi after structural relaxation, with properties calculated at the PBE level.

Output
The formation energy comes out at -1.77 eV per formula unit. The calculation puts the energy above the most stable polymorph in this dataset at 0.30 eV/f.u. The calculation puts the calculated volume at 103 Å³/cell. As for the space group: P4/mmm (123).

a = 3.898 Å, b = 3.898 Å, c = 6.749 Å
α = 90.00°, β = 90.00°, γ = 90.00°
Positions (direct):
Zn1 0.500 0.500 0.000
Bi1 0.500 0.500 0.500
Ho1 0.000 0.000 0.758
Ho2 0.000 0.000 0.242

=====

Below is Ho6Zn2Bi after structural relaxation, with properties calculated at the PBE level.

Output
The formation energy comes out at -2.62 eV per formula unit. The calculation puts the calculated volume at 494 Å³/cell. As for the space group: Immm (71).

a = 8.677 Å, b = 8.677 Å, c = 8.677 Å
α = 100.93°, β = 112.65°, γ = 115.16°
Positions (direct):
Ho1 0.515 0.708 0.807
Ho2 0.485 0.292 0.193
Ho3 0.099 0.292 0.807
Ho4 0.901 0.708 0.193
Ho5 0.797 0.773 0.569
Ho6 0.203 0.227 0.431
Ho7 0.203 0.773 0.976
Ho8 0.797 0.227 0.024
Ho9 0.695 0.378 0.683
Ho10 0.305 0.622 0.317
Ho11 0.305 0.988 0.683
Ho12 0.695 0.012 0.317
Zn1 0.500 0.384 0.884
Zn2 0.500 0.616 0.116
Zn3 0.642 0.000 0.642
Zn4 0.358 0.000 0.358
Bi1 0.000 0.500 0.500
Bi2 0.000 0.000 0.000

=====

Below is Ho4ZnBi2 after structural relaxation, with properties calculated at the PBE level.

Output
The formation energy comes out at -2.67 eV per formula unit. The calculation puts the calculated volume at 401 Å³/cell. As for the space group: P2_1/m (11).

a = 6.887 Å, b = 6.474 Å, c = 9.368 Å
α = 90.00°, β = 106.12°, γ = 90.00°
Positions (direct):
Ho1 0.509 0.500 0.233
Ho2 0.054 0.750 0.834
Ho3 0.946 0.250 0.166
Ho4 0.509 0.000 0.233
Ho5 0.871 0.250 0.546
Ho6 0.491 0.000 0.767
Ho7 0.491 0.500 0.767
Ho8 0.129 0.750 0.454
Zn1 0.163 0.750 0.159
Zn2 0.837 0.250 0.841
Bi1 0.758 0.750 0.052
Bi2 0.242 0.250 0.948
Bi3 0.303 0.250 0.461
Bi4 0.697 0.750 0.539

=====

Below is Ho7Zn2Bi2 after structural relaxation, with properties calculated at the PBE level.

Output
The formation energy comes out at -1.32 eV per formula unit. The calculation puts the calculated volume at 338 Å³/cell. As for the space group: Cmmm (65).

a = 7.115 Å, b = 6.775 Å, c = 7.115 Å
α = 90.00°, β = 99.39°, γ = 90.00°
Positions (direct):
Ho1 0.000 0.248 0.500
Ho2 0.500 0.752 0.000
Ho3 0.000 0.752 0.500
Ho4 0.500 0.248 0.000
Ho5 0.000 0.000 0.000
Ho6 0.500 0.761 0.500
Ho7 0.500 0.239 0.500
Zn1 0.725 0.000 0.275
Zn2 0.275 0.000 0.725
Bi1 0.803 0.500 0.803
Bi2 0.197 0.500 0.197